[1]
The following is a PBE calculation of an optimized crystal structure of SrZnNO, from the Open Quantum Materials Database.

Cell lengths 5.3650, 5.5568, 8.2591 Å; angles 90.00, 90.00, 90.00 degrees
Sites, in units of the cell vectors:
N1 0.5279 0.0036 0.1539
N2 0.0279 0.4964 0.1539
N3 0.5279 0.5036 0.8461
N4 0.0279 0.9964 0.8461
O1 0.6469 0.6182 0.4320
O2 0.1469 0.8818 0.4320
O3 0.6469 0.1182 0.5680
O4 0.1469 0.3818 0.5680
Sr1 0.0211 0.0128 0.1605
Sr2 0.5211 0.4872 0.1605
Sr3 0.0211 0.5128 0.8395
Sr4 0.5211 0.9872 0.8395
Zn1 0.0065 0.5540 0.3881
Zn2 0.5065 0.9460 0.3881
Zn3 0.0065 0.0540 0.6119
Zn4 0.5065 0.4460 0.6119

Output
calculated volume: 61.6 Å³/f.u.
energy relative to the lowest polymorph listed for this composition: 260 meV per atom
space group: Pca2_1

---

[2]
The following is a PBE calculation of an optimized crystal structure of SrZnNO, from the Open Quantum Materials Database.

Cell lengths 4.8071, 4.8071, 5.0011 Å; angles 90.00, 90.00, 90.00 degrees
Sites, in units of the cell vectors:
N1 0.7500 0.7500 0.4431
N2 0.2500 0.2500 0.5569
O1 0.7500 0.2500 0.0000
O2 0.2500 0.7500 0.0000
Sr1 0.7500 0.2500 0.5000
Sr2 0.2500 0.7500 0.5000
Zn1 0.7500 0.7500 0.0393
Zn2 0.2500 0.2500 0.9607

Output
calculated volume: 57.8 Å³/f.u.
energy relative to the lowest polymorph listed for this composition: 557 meV per atom
space group: P4/nmm

---

[3]
The following is a PBE calculation of an optimized crystal structure of SrZnNO, from the Open Quantum Materials Database.

Cell lengths 3.5647, 5.3379, 6.2599 Å; angles 90.00, 90.00, 90.00 degrees
Sites, in units of the cell vectors:
N1 0.0000 0.7562 0.4966
N2 0.0000 0.2562 0.5034
O1 0.5000 0.4880 0.1276
O2 0.5000 0.9880 0.8724
Sr1 0.5000 0.0066 0.2614
Sr2 0.5000 0.5066 0.7386
Zn1 0.0000 0.5032 0.2692
Zn2 0.0000 0.0032 0.7308

Output
calculated volume: 59.6 Å³/f.u.
energy relative to the lowest polymorph listed for this composition: 201 meV per atom
space group: Pmc2_1

---

[4]
The following is a PBE calculation of an optimized crystal structure of SrZnNO, from the Open Quantum Materials Database.

Cell lengths 5.3507, 7.7301, 5.3355 Å; angles 90.00, 90.00, 90.00 degrees
Sites, in units of the cell vectors:
N1 0.7499 0.0022 0.2382
N2 0.2499 0.9978 0.2382
N3 0.7501 0.0022 0.7382
N4 0.2501 0.9978 0.7382
O1 0.4968 0.3595 0.4882
O2 0.9968 0.6405 0.4882
O3 0.0032 0.3595 0.9882
O4 0.5032 0.6405 0.9882
Sr1 0.9989 0.3276 0.4878
Sr2 0.4989 0.6724 0.4878
Sr3 0.5011 0.3276 0.9878
Sr4 0.0011 0.6724 0.9878
Zn1 0.4980 0.0993 0.4882
Zn2 0.9980 0.9007 0.4882
Zn3 0.0020 0.0993 0.9882
Zn4 0.5020 0.9007 0.9882

Output
calculated volume: 55.2 Å³/f.u.
energy relative to the lowest polymorph listed for this composition: 0 meV per atom
space group: Pbcm

---

[5]
The following is a PBE calculation of an optimized crystal structure of SrZnNO, from the Open Quantum Materials Database.

Cell lengths 3.5902, 5.7691, 5.7826 Å; angles 90.00, 90.00, 90.00 degrees
Sites, in units of the cell vectors:
N1 0.0000 0.6242 0.0133
N2 0.0000 0.3758 0.5133
O1 0.5000 0.0117 0.2445
O2 0.5000 0.9883 0.7445
Sr1 0.0000 0.8080 0.4901
Sr2 0.0000 0.1920 0.9901
Zn1 0.5000 0.2597 0.4981
Zn2 0.5000 0.7403 0.9981

Output
calculated volume: 59.9 Å³/f.u.
energy relative to the lowest polymorph listed for this composition: 144 meV per atom
space group: Pmc2_1

---

[6]
The following is a PBE calculation of an optimized crystal structure of SrZnNO, from the Open Quantum Materials Database.

Cell lengths 3.7707, 3.7707, 8.6204 Å; angles 90.00, 90.00, 90.00 degrees
Sites, in units of the cell vectors:
N1 0.7500 0.7500 0.3890
N2 0.2500 0.2500 0.6110
O1 0.7500 0.2500 0.0000
O2 0.2500 0.7500 0.0000
Sr1 0.2500 0.2500 0.1687
Sr2 0.7500 0.7500 0.8313
Zn1 0.7500 0.2500 0.5000
Zn2 0.2500 0.7500 0.5000

Output
calculated volume: 61.3 Å³/f.u.
energy relative to the lowest polymorph listed for this composition: 357 meV per atom
space group: P4/nmm

---

> calculated volume of number 4 (SrZnNO)?

55.2 Å³/f.u.

---

> What is the energy relative to the lowest polymorph listed for this composition in the fifth record?

144 meV per atom

---

> Look up the energy relative to the lowest polymorph listed for this composition of the second one.

557 meV per atom

---

> What is the energy relative to the lowest polymorph listed for this composition in the second record?

557 meV per atom